Entry from Alexandria: As2WSe after structural relaxation (GGA-PBE).

Density of states at the Fermi level (states/eV/cell): 6.055
Total magnetic moment (Bohr magnetons per cell): 0.0
Calculated total energy (eV per atom): -5.87

Cell: 4.593 4.593 6.481 Å, 90.00 90.00 90.00°
Space group I-4m2 (No. 119)
Asymmetric unit:
As  0.000  0.000  0.000 [2 per cell]
As  0.000  0.500  0.250 [2 per cell]
W  0.000  0.000  0.500 [2 per cell]
Se  0.000  0.500  0.750 [2 per cell]

Entry from Alexandria: Mg2BeRu after structural relaxation (GGA-PBE).

Density of states at the Fermi level (states/eV/cell): 0.336
Total magnetic moment (Bohr magnetons per cell): 0.0
Calculated total energy (eV per atom): -3.64
Energy of formation (eV per atom): 0.40

Cell: 6.942 6.942 5.058 Å, 90.00 90.00 90.00°
Space group I-42d (No. 122)
Asymmetric unit:
Mg  0.222  0.250  0.125 [8 per cell]
Be  0.000  0.000  0.000 [4 per cell]
Ru  0.000  0.000  0.500 [4 per cell]

Entry from Alexandria: Ca3In6Pt5 after structural relaxation (GGA-PBE).

Density of states at the Fermi level (states/eV/cell): 13.456
Total magnetic moment (Bohr magnetons per cell): 0.0
Calculated total energy (eV per atom): -4.46
Energy of formation (eV per atom): -0.70

Cell: 4.494 13.653 9.988 Å, 90.00 90.00 90.00°
Space group Pmmn (No. 59, origin choice 2)
Asymmetric unit:
Ca  0.250  0.047  0.250 [4 per cell]
Ca  0.250  0.750  0.222 [2 per cell]
In  0.250  0.070  0.915 [4 per cell]
In  0.250  0.250  0.106 [2 per cell]
In  0.250  0.250  0.468 [2 per cell]
In  0.250  0.593  0.518 [4 per cell]
Pt  0.250  0.093  0.643 [4 per cell]
Pt  0.250  0.635  0.947 [4 per cell]
Pt  0.250  0.750  0.702 [2 per cell]